{
  "formula": "CaSiMo2",
  "functional": "PBE",
  "state": "optimized geometry",
  "lattice_angstrom": [[-1.865, 3.935, -3.029], [-3.479, -1.345, -3.771], [0.577, -0.907, 5.194]],
  "species": ["Ca", "Mo", "Mo", "Si"],
  "fractional_positions": [[0.750, 0.250, 0.500], [0.000, 0.000, 0.000], [0.500, 0.500, 0.000], [0.250, 0.750, 0.500]],
  "raw_formation_energy_ev_per_atom": 0.5091,
  "density_g_cm3": 6.17,
  "dos_at_fermi_per_ev_fu": 3.2
}


{
  "formula": "CuRhWI2",
  "functional": "PBE",
  "state": "optimized geometry",
  "lattice_angstrom": [[5.055, 0.000, 0.000], [0.000, 4.737, 0.000], [0.000, 0.000, 5.055]],
  "species": ["I", "I", "Rh", "Cu", "W"],
  "fractional_positions": [[0.000, 0.000, 0.500], [0.500, 0.000, 0.000], [0.000, 0.500, 0.000], [0.000, 0.000, 0.000], [0.500, 0.500, 0.500]],
  "raw_formation_energy_ev_per_atom": 1.7066,
  "density_g_cm3": 8.29,
  "dos_at_fermi_per_ev_fu": 5.7
}


{
  "formula": "ScRe2P2",
  "functional": "PBE",
  "state": "optimized geometry",
  "lattice_angstrom": [[0.099, -5.323, 1.043], [-4.880, -2.361, 0.212], [2.536, 3.282, -3.496]],
  "species": ["Sc", "Re", "Re", "P", "P"],
  "fractional_positions": [[0.000, 0.000, 0.000], [0.250, 0.750, 0.500], [0.750, 0.250, 0.500], [0.624, 0.624, 0.000], [0.376, 0.376, 0.000]],
  "e_above_lowest_polymorph_mev_per_atom": 0,
  "density_g_cm3": 10.17,
  "formation_enthalpy_0k_ev_per_atom": -0.57,
  "dos_at_fermi_per_ev_fu": 4.9
}


{
  "formula": "KCoTeI2",
  "functional": "PBE",
  "state": "optimized geometry",
  "lattice_angstrom": [[-3.539, -3.701, -2.698], [3.260, 0.360, -4.770], [2.748, -3.788, 1.593]],
  "species": ["I", "I", "K", "Te", "Co"],
  "fractional_positions": [[0.000, 0.500, 0.000], [0.500, 0.000, 0.000], [0.500, 0.500, 0.500], [0.000, 0.000, 0.500], [0.000, 0.000, 0.000]],
  "raw_formation_energy_ev_per_atom": -0.3061,
  "e_above_lowest_polymorph_mev_per_atom": 0,
  "density_g_cm3": 4.81,
  "dos_at_fermi_per_ev_fu": 5.7
}


{
  "formula": "TlReBr2",
  "functional": "PBE",
  "state": "optimized geometry",
  "lattice_angstrom": [[-5.250, 0.073, -1.783], [-3.814, 2.956, 2.731], [-2.091, 4.604, -2.276]],
  "species": ["Re", "Tl", "Br", "Br"],
  "fractional_positions": [[0.000, 0.000, 0.000], [0.500, 0.500, 0.500], [0.250, 0.250, 0.250], [0.750, 0.750, 0.750]],
  "raw_formation_energy_ev_per_atom": 0.9670,
  "e_above_lowest_polymorph_mev_per_atom": 649,
  "density_g_cm3": 7.58,
  "dos_at_fermi_per_ev_fu": 0.4
}


{
  "formula": "Th2USe6",
  "functional": "PBE",
  "state": "optimized geometry",
  "lattice_angstrom": [[5.258, 0.000, 0.000], [2.629, 7.392, -0.614], [2.629, 2.489, 7.450]],
  "species": ["Th", "Th", "U", "Se", "Se", "Se", "Se", "Se", "Se"],
  "fractional_positions": [[0.180, 0.758, 0.881], [0.820, 0.242, 0.119], [0.000, 0.500, 0.500], [0.767, 0.613, 0.852], [0.233, 0.387, 0.148], [0.965, 0.846, 0.224], [0.381, 0.698, 0.539], [0.035, 0.154, 0.776], [0.619, 0.302, 0.461]],
  "raw_formation_energy_ev_per_atom": -1.3524,
  "density_g_cm3": 6.56,
  "dos_at_fermi_per_ev_fu": 9.1
}


{
  "formula": "Hf8Ir2N3",
  "functional": "PBE",
  "state": "optimized geometry",
  "lattice_angstrom": [[-4.927, 1.129, -3.057], [2.787, -2.335, -5.354], [-1.907, -4.701, 4.969]],
  "species": ["Hf", "Hf", "Hf", "Hf", "Hf", "Hf", "Hf", "Hf", "Ir", "Ir", "N", "N", "N"],
  "fractional_positions": [[0.951, 0.606, 0.213], [0.049, 0.394, 0.787], [0.894, 0.102, 0.205], [0.106, 0.898, 0.795], [0.601, 0.648, 0.785], [0.601, 0.137, 0.785], [0.399, 0.863, 0.215], [0.399, 0.352, 0.215], [0.302, 0.259, 0.518], [0.698, 0.741, 0.482], [0.500, 0.000, 0.000], [0.000, 0.234, 0.000], [0.000, 0.766, 0.000]],
  "raw_formation_energy_ev_per_atom": -0.8976,
  "density_g_cm3": 13.34,
  "dos_at_fermi_per_ev_fu": 7.7
}


{
  "formula": "Dy2Sc3Sn4",
  "functional": "PBE",
  "state": "optimized geometry",
  "lattice_angstrom": [[7.696, -0.148, 0.000], [-2.669, 7.493, 0.000], [0.000, 0.000, 7.924]],
  "species": ["Dy", "Dy", "Dy", "Dy", "Sc", "Sc", "Sc", "Sc", "Sc", "Sc", "Sn", "Sn", "Sn", "Sn", "Sn", "Sn", "Sn", "Sn"],
  "fractional_positions": [[0.557, 0.191, 0.323], [0.943, 0.809, 0.823], [0.443, 0.809, 0.677], [0.057, 0.191, 0.177], [0.000, 0.500, 0.500], [0.500, 0.500, 0.000], [0.741, 0.249, 0.836], [0.759, 0.751, 0.336], [0.259, 0.751, 0.164], [0.241, 0.249, 0.664], [0.840, 0.085, 0.542], [0.660, 0.915, 0.042], [0.160, 0.915, 0.458], [0.340, 0.085, 0.958], [0.860, 0.492, 0.137], [0.640, 0.508, 0.637], [0.140, 0.508, 0.863], [0.360, 0.492, 0.363]],
  "density_g_cm3": 6.84,
  "formation_enthalpy_0k_ev_per_atom": -0.75,
  "dos_at_fermi_per_ev_fu": 6.2
}


{
  "formula": "Rb3OsO6",
  "functional": "PBE",
  "state": "optimized geometry",
  "lattice_angstrom": [[-7.140, 0.602, 2.156], [-1.354, -7.116, -1.874], [1.700, -2.330, 6.904]],
  "species": ["Rb", "Rb", "Rb", "Rb", "Rb", "Rb", "Os", "Os", "O", "O", "O", "O", "O", "O", "O", "O", "O", "O", "O", "O"],
  "fractional_positions": [[0.422, 0.078, 0.750], [0.078, 0.750, 0.422], [0.750, 0.422, 0.078], [0.922, 0.250, 0.578], [0.250, 0.578, 0.922], [0.578, 0.922, 0.250], [0.500, 0.500, 0.500], [0.000, 0.000, 0.000], [0.929, 0.768, 0.060], [0.768, 0.060, 0.929], [0.060, 0.929, 0.768], [0.429, 0.560, 0.268], [0.560, 0.268, 0.429], [0.268, 0.429, 0.560], [0.071, 0.232, 0.940], [0.232, 0.940, 0.071], [0.940, 0.071, 0.232], [0.571, 0.440, 0.732], [0.440, 0.732, 0.571], [0.732, 0.571, 0.440]],
  "raw_formation_energy_ev_per_atom": -1.2077,
  "e_above_lowest_polymorph_mev_per_atom": 9,
  "density_g_cm3": 4.31,
  "dos_at_fermi_per_ev_fu": 9.7
}


{
  "formula": "Mg2AgAu4",
  "functional": "PBE",
  "state": "optimized geometry",
  "lattice_angstrom": [[-4.906, -1.190, -2.489], [-0.204, -2.565, -5.217], [0.102, -3.021, 4.748]],
  "species": ["Mg", "Mg", "Ag", "Au", "Au", "Au", "Au"],
  "fractional_positions": [[0.502, 0.749, 0.498], [0.498, 0.251, 0.502], [0.000, 0.000, 0.000], [0.584, 0.709, 0.999], [0.416, 0.291, 0.001], [0.999, 0.291, 0.584], [0.001, 0.709, 0.416]],
  "e_above_lowest_polymorph_mev_per_atom": 0,
  "density_g_cm3": 11.67,
  "formation_enthalpy_0k_ev_per_atom": -0.27,
  "dos_at_fermi_per_ev_fu": 1.0
}


{
  "formula": "Sr2In2Hg7",
  "functional": "PBE",
  "state": "optimized geometry",
  "lattice_angstrom": [[-1.608, 6.937, 3.079], [-4.249, -2.551, 3.529], [5.458, -1.963, 5.152]],
  "species": ["Sr", "Sr", "In", "In", "Hg", "Hg", "Hg", "Hg", "Hg", "Hg", "Hg"],
  "fractional_positions": [[0.802, 0.500, 0.802], [0.198, 0.500, 0.198], [0.744, 0.000, 0.256], [0.256, 0.000, 0.744], [0.000, 0.253, 0.500], [0.500, 0.747, 0.000], [0.000, 0.747, 0.500], [0.500, 0.253, 0.000], [0.000, 0.000, 0.000], [0.500, 0.749, 0.500], [0.500, 0.251, 0.500]],
  "e_above_lowest_polymorph_mev_per_atom": 135,
  "density_g_cm3": 8.25,
  "formation_enthalpy_0k_ev_per_atom": -0.12,
  "dos_at_fermi_per_ev_fu": 6.1
}


{
  "formula": "HgAuSe2",
  "functional": "PBE",
  "state": "optimized geometry",
  "lattice_angstrom": [[1.777, 0.000, 11.544], [-0.889, 1.539, 11.544], [-0.889, -1.539, 11.544]],
  "species": ["Au", "Hg", "Se", "Se"],
  "fractional_positions": [[0.000, 0.000, 0.000], [0.500, 0.500, 0.500], [0.928, 0.928, 0.928], [0.072, 0.072, 0.072]],
  "raw_formation_energy_ev_per_atom": 0.1890,
  "density_g_cm3": 9.74,
  "dos_at_fermi_per_ev_fu": 2.3
}